The following is a GGA+U calculation of a geometry-optimized NaLiV2O6 structure, from the Alexandria database.

## Properties
- Energy above the most stable polymorph in this dataset: 0.016 eV/atom
- N(E_F): 0.000 states/eV per cell
- Space group: P1, No. 1
- VASP energy: -270.4 eV/cell

abc: 7.0682 7.2779 11.8612
angles: 73.11 74.03 84.11
Last column: nearest neighbours and their distance in Å.
Fractional coordinates of all 40 atoms:
O1 0.2154 0.0370 0.1649  1 V 1.68
Li1 0.8979 0.1093 0.6309  4 O 2.08-2.18
Li2 0.2295 0.7845 0.6262  3 O 1.93-2.16
Na1 0.0883 0.9106 0.3766  6 O 2.33-2.50
Li3 0.1108 0.8717 0.8656  4 O 2.02-2.15
V1 0.3837 0.2089 0.1183  4 O 1.68-1.82
O2 0.1397 0.6249 0.8161  1 V 1.69
V2 0.3849 0.1900 0.6255  4 O 1.67-1.82
O3 0.3892 0.8771 0.4337  1 V 1.68
V3 0.8095 0.6011 0.6325  4 O 1.68-1.82
O4 0.7868 0.9598 0.8183  1 V 1.69
Na2 0.7297 0.2521 0.8741  4 O 2.33-2.41
O5 0.6796 0.6336 0.5158  2 V 1.81
O6 0.3676 0.3451 0.4771  2 V 1.82-1.83
Li4 0.8837 0.1378 0.1251  4 O 2.05-2.23
O7 0.9872 0.7636 0.5854  1 V 1.68
O8 0.6126 0.1134 0.0912  1 V 1.68
V4 0.7856 0.6249 0.1274  4 O 1.68-1.82
V5 0.2059 0.3756 0.3757  4 O 1.67-1.83
V6 0.6193 0.7979 0.3829  4 O 1.68-1.83
O9 0.3522 0.3408 0.2311  2 V 1.82
O10 0.6259 0.6519 0.0263  2 V 1.82
O11 0.0226 0.2163 0.4383  1 V 1.69
O12 0.6379 0.6662 0.2704  2 V 1.82-1.83
O13 0.3599 0.3697 0.9733  2 V 1.82
O14 0.1156 0.6001 0.3404  1 V 1.67
Na3 0.7239 0.2746 0.3798  5 O 2.36-2.53
O15 0.3658 0.3288 0.7328  2 V 1.81
O16 0.6118 0.0920 0.5992  1 V 1.67
O17 0.9006 0.3752 0.6633  1 V 1.68
V7 0.6146 0.7894 0.8730  4 O 1.68-1.82
O18 0.3871 0.8879 0.8935  1 V 1.68
O19 0.0181 0.2509 0.9339  1 V 1.68
Na4 0.2663 0.7375 0.1214  5 O 2.35-2.57
O20 0.9746 0.7750 0.0576  1 V 1.68
O21 0.7756 0.9828 0.3215  1 V 1.69
V8 0.2123 0.3942 0.8652  4 O 1.68-1.82
O22 0.6494 0.6283 0.7760  2 V 1.82
O23 0.8704 0.3967 0.1632  1 V 1.68
O24 0.2083 0.0226 0.6766  1 V 1.70